(1)
This record from Alexandria describes a relaxed CaPdSeBr2 crystal. The functional is PBE.

```
5
Lattice="5.520 0.000 0.000 0.000 5.520 0.000 0.000 0.000 5.747" Properties=species:S:1:pos:R:3 pbc="T T T"
Ca 0.000 0.000 0.000
Pd 2.760 2.760 2.874
Se 0.000 0.000 2.874
Br 0.000 2.760 0.000
Br 2.760 0.000 0.000
```

Values from the calculation:
Energy relative to the elements, uncorrected: -1.28 eV/f.u.
Calculated volume: 175.1 Å³/cell
Calculated total energy: -3.06 eV/atom
Energy above the lowest structure with this stoichiometry: 510 meV/atom
Fermi-level density of states: 7.8 states/eV/f.u.
Space group: P4/mmm (123)

---

(2)
This record from Alexandria describes a relaxed CaPdSe2Br crystal. The functional is PBE.

```
5
Lattice="5.014 0.000 0.000 0.000 5.014 0.000 0.000 0.000 5.115" Properties=species:S:1:pos:R:3 pbc="T T T"
Ca 0.000 0.000 0.000
Pd 2.507 2.507 2.557
Se 0.000 2.507 2.557
Se 2.507 0.000 2.557
Br 2.507 2.507 0.000
```

Values from the calculation:
Energy relative to the elements, uncorrected: -3.19 eV/f.u.
Calculated volume: 128.6 Å³/cell
Calculated total energy: -3.81 eV/atom
Energy above the lowest structure with this stoichiometry: 0 meV/atom
Fermi-level density of states: 3.6 states/eV/f.u.
Space group: P4/mmm (123)

---

Q: What is the formula in the first record?
A: CaPdSeBr2

---

Q: Which formula does entry 2 have?
A: CaPdSe2Br

---

Q: Look up the energy above the lowest structure with this stoichiometry of the first one.
A: 510 meV/atom

---

Q: Look up the calculated total energy of the second one.
A: -3.81 eV/atom